VASP calculation (meta-GGA SCAN) on a crystal of Ca2LaCr relaxed with PBEsol.

Summary:
Total moment in μB/f.u.: 4.854
Calculated total energy in eV/atom: -19.836
ΔE_f in eV per atom: 0.368
Offset from the most stable computed form in eV/atom: 0.133

a b c (Å): 3.4618 6.2691 6.6788
angles (deg): 115.89 101.53 97.25
Sites, in units of the cell vectors:
Cr 0.5000 0.0000 0.0000
Ca 0.0000 0.0000 0.5000
Ca 0.5000 0.5000 0.5000
La 0.0000 0.5000 0.0000

=====

VASP calculation (meta-GGA SCAN) on a crystal of CaLaCr2 relaxed with PBEsol.

Summary:
Total moment in μB/f.u.: 0.720
Calculated total energy in eV/atom: -22.082
ΔE_f in eV per atom: 0.303
Offset from the most stable computed form in eV/atom: 0.000

a b c (Å): 3.1856 3.1856 8.7151
angles (deg): 90.00 90.00 90.00
Sites, in units of the cell vectors:
Cr 0.0000 0.0000 0.0751
Cr 0.5000 0.5000 0.1718
Ca 0.5000 0.5000 0.8167
La 0.0000 0.0000 0.4363

=====

VASP calculation (meta-GGA SCAN) on a crystal of CaLaCr2 relaxed with PBEsol.

Summary:
Total moment in μB/f.u.: 9.521
Calculated total energy in eV/atom: -21.885
ΔE_f in eV per atom: 0.500
Offset from the most stable computed form in eV/atom: 0.197

a b c (Å): 5.0494 5.0494 5.0494
angles (deg): 60.00 60.00 60.00
Sites, in units of the cell vectors:
Cr 0.0000 0.0000 0.0000
Cr 0.7500 0.7500 0.7500
Ca 0.5000 0.5000 0.5000
La 0.2500 0.2500 0.2500

=====

VASP calculation (meta-GGA SCAN) on a crystal of Ca2LaCr relaxed with PBEsol.

Summary:
Total moment in μB/f.u.: 3.756
Calculated total energy in eV/atom: -19.968
ΔE_f in eV per atom: 0.236
Offset from the most stable computed form in eV/atom: 0.000

a b c (Å): 3.7769 5.5238 6.7335
angles (deg): 114.22 106.29 90.00
Sites, in units of the cell vectors:
Cr 0.5000 0.0000 0.0000
Ca 0.7889 0.7889 0.5779
Ca 0.2111 0.2111 0.4221
La 0.0000 0.5000 0.0000

=====

VASP calculation (meta-GGA SCAN) on a crystal of CaLaTaCrO6 relaxed with PBEsol.

Summary:
Formation energy from raw total energies in eV per atom: -3.16
Total moment in μB/f.u.: 4.001
Calculated total energy in eV/atom: -20.670

a b c (Å): 5.4100 5.5268 8.3666
angles (deg): 90.00 90.86 90.00
Sites, in units of the cell vectors:
Ca 0.5223 0.7962 0.7456
Ca 0.0223 0.2038 0.2456
La 0.9829 0.2903 0.7548
La 0.4829 0.7097 0.2548
Ta 0.4998 0.2468 0.0016
Ta 0.9998 0.7532 0.5016
Cr 0.4969 0.2526 0.5013
Cr 0.9969 0.7474 0.0013
O 0.9013 0.7907 0.2729
O 0.4013 0.2093 0.7729
O 0.7828 0.0303 0.9527
O 0.2828 0.9697 0.4527
O 0.7837 0.0334 0.5606
O 0.2837 0.9666 0.0606
O 0.7086 0.5329 0.9379
O 0.2086 0.4671 0.4379
O 0.7114 0.5396 0.5472
O 0.2114 0.4604 0.0472
O 0.6104 0.2857 0.2253
O 0.1104 0.7143 0.7253

=====

VASP calculation (meta-GGA SCAN) on a crystal of CaLaCrWO6 relaxed with PBEsol.

Summary:
Formation energy from raw total energies in eV per atom: -2.86
Total moment in μB/f.u.: 0.999
Calculated total energy in eV/atom: -20.683

a b c (Å): 5.4399 5.5133 7.7310
angles (deg): 90.00 90.21 90.00
Sites, in units of the cell vectors:
Cr 0.5006 0.2507 0.5006
Cr 0.0006 0.7493 0.0006
Ca 0.4907 0.7972 0.2514
Ca 0.9907 0.2028 0.7514
O 0.0635 0.7667 0.7524
O 0.5635 0.2333 0.2524
O 0.2118 0.0329 0.0335
O 0.7118 0.9671 0.5335
O 0.2167 0.0364 0.4648
O 0.7167 0.9636 0.9648
O 0.2911 0.5427 0.0404
O 0.7911 0.4573 0.5404
O 0.2959 0.5393 0.4612
O 0.7959 0.4607 0.9612
O 0.4229 0.2597 0.7475
O 0.9229 0.7403 0.2475
W 0.5004 0.2507 0.9991
W 0.0004 0.7493 0.4991
La 0.0063 0.2863 0.2492
La 0.5063 0.7137 0.7492

=====

VASP calculation (meta-GGA SCAN) on a crystal of LiCaCr3 relaxed with PBEsol.

Summary:
Total moment in μB/f.u.: 15.957
Calculated total energy in eV/atom: -11.849
ΔE_f in eV per atom: 1.592

a b c (Å): 5.4765 5.4765 5.4765
angles (deg): 90.00 90.00 90.00
Sites, in units of the cell vectors:
Cr 0.0000 0.5000 0.0000
Cr 0.0000 0.0000 0.5000
Cr 0.5000 0.0000 0.0000
Ca 0.0000 0.0000 0.0000
Li 0.5000 0.5000 0.5000

=====

VASP calculation (meta-GGA SCAN) on a crystal of SrLi2CaCr relaxed with PBEsol.

Summary:
Total moment in μB/f.u.: 4.567
Calculated total energy in eV/atom: -9.835
ΔE_f in eV per atom: 1.186

a b c (Å): 5.2785 5.2785 6.2775
angles (deg): 90.00 90.00 90.00
Sites, in units of the cell vectors:
Sr 0.0000 0.0000 0.0000
Ca 0.0000 0.0000 0.5000
Li 0.0000 0.5000 0.0000
Li 0.5000 0.0000 0.0000
Cr 0.5000 0.5000 0.5000